Sc4GaCu2Pd | PBE | optimized geometry

Values from the calculation:
crystal system: trigonal
symmetry: R-3m
uncorrected energy: -5.75 eV per atom

Cell: 4.6665 4.6665 8.1030 Å, 73.26 73.26 60.00°
Closest atoms and distances in Å follow each position.
Element x y z (fractional)
1 Sc 0.3767 0.3767 0.8699  4 Cu 2.82, 1 Pd 2.83, 3 Ga 2.87
2 Sc 0.8737 0.8737 0.3788  3 Pd 2.85, 1 Ga 2.89, 4 Cu 2.90-2.92
3 Sc 0.1263 0.1263 0.6212  3 Pd 2.85, 1 Ga 2.89, 4 Cu 2.90-2.92
4 Sc 0.6233 0.6233 0.1301  4 Cu 2.82, 1 Pd 2.83, 3 Ga 2.87
5 Ga 0.0000 0.0000 0.0000  8 Sc 2.87-2.89
6 Cu 0.7464 0.7464 0.7607  8 Sc 2.82-2.92
7 Cu 0.2536 0.2536 0.2393  8 Sc 2.82-2.92
8 Pd 0.5000 0.5000 0.5000  8 Sc 2.83-2.85

---

CuAg5Au2 | PBE | optimized geometry

Values from the calculation:
crystal system: orthorhombic
symmetry: Pbam
offset from the most stable computed form: 0.00 kJ per mole of atoms

Cell: 2.9107 7.6631 12.4305 Å, 90.00 90.00 90.00°
Closest atoms and distances in Å follow each position.
Element x y z (fractional)
1 Cu 0.0000 0.0000 0.5000  4 Au 2.69, 4 Ag 2.74, 2 Cu 2.91
2 Cu 0.0000 0.5000 0.0000  4 Au 2.69, 4 Ag 2.74, 2 Cu 2.91
3 Ag 0.0000 0.0000 0.0000  8 Ag 2.91-2.94, 4 Au 2.96
4 Ag 0.0000 0.5000 0.5000  8 Ag 2.91-2.94, 4 Au 2.96
5 Ag 0.0000 0.4968 0.7363  7 Ag 2.88-2.94, 4 Au 2.90-2.93
6 Ag 0.0000 0.5032 0.2637  7 Ag 2.88-2.94, 4 Au 2.90-2.93
7 Ag 0.0000 0.0032 0.2363  7 Ag 2.88-2.94, 4 Au 2.90-2.93
8 Ag 0.0000 0.9968 0.7637  7 Ag 2.88-2.94, 4 Au 2.90-2.93
9 Ag 0.5000 0.2694 0.8791  2 Cu 2.74, 8 Ag 2.88-2.94, 1 Au 2.98
10 Ag 0.5000 0.7306 0.1209  2 Cu 2.74, 8 Ag 2.88-2.94, 1 Au 2.98
11 Ag 0.5000 0.2306 0.3791  2 Cu 2.74, 8 Ag 2.88-2.94, 1 Au 2.98
12 Ag 0.5000 0.7694 0.6209  2 Cu 2.74, 8 Ag 2.88-2.94, 1 Au 2.98
13 Au 0.5000 0.2245 0.6186  2 Cu 2.69, 7 Ag 2.90-2.98, 2 Au 2.91
14 Au 0.5000 0.7755 0.3814  2 Cu 2.69, 7 Ag 2.90-2.98, 2 Au 2.91
15 Au 0.5000 0.2755 0.1186  2 Cu 2.69, 7 Ag 2.90-2.98, 2 Au 2.91
16 Au 0.5000 0.7245 0.8814  2 Cu 2.69, 7 Ag 2.90-2.98, 2 Au 2.91

---

LaCeEr2P4 | PBE | optimized geometry

Values from the calculation:
crystal system: monoclinic
symmetry: P2/m
uncorrected energy: -6.77 eV per atom

Cell: 4.0775 7.0408 7.0690 Å, 70.55 90.00 90.00°
Closest atoms and distances in Å follow each position.
Element x y z (fractional)
1 La 0.0000 0.5000 0.5000  6 P 2.94-2.95
2 Ce 0.5000 0.5000 0.0000  6 P 2.89-2.90
3 Er 0.0000 0.0000 0.0000  6 P 2.81-2.82
4 Er 0.5000 0.0000 0.5000  6 P 2.86-2.87
5 P 0.0000 0.7592 0.7521  3 Er 2.81-2.86, 2 Ce 2.90, 1 La 2.94
6 P 0.0000 0.2408 0.2479  3 Er 2.81-2.86, 2 Ce 2.90, 1 La 2.94
7 P 0.5000 0.7621 0.2399  3 Er 2.82-2.87, 1 Ce 2.89, 2 La 2.95
8 P 0.5000 0.2379 0.7601  3 Er 2.82-2.87, 1 Ce 2.89, 2 La 2.95

---

Cs2HoVS4 | PBE | optimized geometry

Values from the calculation:
crystal system: orthorhombic
symmetry: Fddd
raw formation energy: -1267 meV/atom

Cell: 6.3342 7.9704 13.2279 Å, 84.54 76.15 66.59°
Closest atoms and distances in Å follow each position.
Element x y z (fractional)
1 Cs 0.1789 0.0000 0.6421  8 S 3.78-4.11
2 Cs 0.8211 0.0000 0.3579  8 S 3.78-4.11
3 Cs 0.5711 0.5000 0.8579  8 S 3.78-4.11
4 Cs 0.9289 0.5000 0.1421  8 S 3.78-4.11
5 Ho 0.7500 0.5000 0.5000  4 S 2.57
6 Ho 0.0000 0.0000 0.0000  4 S 2.57
7 V 0.2500 0.5000 0.5000  4 S 2.31
8 V 0.5000 0.0000 0.0000  4 S 2.31
9 S 0.3281 0.8115 0.0963  1 V 2.31, 1 Ho 2.57
10 S 0.2359 0.1885 0.9037  1 V 2.31, 1 Ho 2.57
11 S 0.8604 0.8115 0.9037  1 V 2.31, 1 Ho 2.57
12 S 0.5756 0.1885 0.0963  1 V 2.31, 1 Ho 2.57
13 S 0.4219 0.6885 0.4037  1 V 2.31, 1 Ho 2.57
14 S 0.5141 0.3115 0.5963  1 V 2.31, 1 Ho 2.57
15 S 0.8896 0.6885 0.5963  1 V 2.31, 1 Ho 2.57
16 S 0.1744 0.3115 0.4037  1 V 2.31, 1 Ho 2.57

---

Ba2InAg4Pb3 | PBE | optimized geometry

Values from the calculation:
crystal system: tetragonal
symmetry: P-4m2
uncorrected energy: -3.17 eV per atom

Cell: 4.9381 4.9381 11.9250 Å, 90.00 90.00 90.00°
Closest atoms and distances in Å follow each position.
Element x y z (fractional)
1 Ba 0.5000 0.0000 0.2423  6 Pb 3.75-3.94, 8 Ag 3.80, 2 In 3.94
2 Ba 0.0000 0.5000 0.7577  6 Pb 3.75-3.94, 8 Ag 3.80, 2 In 3.94
3 In 0.5000 0.5000 0.5000  4 Ag 2.93
4 Ag 0.5000 0.5000 0.0000  4 Pb 2.91
5 Ag 0.0000 0.0000 0.0000  4 Pb 2.91
6 Ag 0.5000 0.0000 0.6319  3 Pb 2.85-2.93, 2 In 2.93
7 Ag 0.0000 0.5000 0.3681  3 Pb 2.85-2.93, 2 In 2.93
8 Pb 0.0000 0.0000 0.5000  4 Ag 2.93
9 Pb 0.5000 0.0000 0.8712  5 Ag 2.85-2.91
10 Pb 0.0000 0.5000 0.1288  5 Ag 2.85-2.91

---

Repeat the third record exactly.
LaCeEr2P4 | PBE | optimized geometry

Values from the calculation:
crystal system: monoclinic
symmetry: P2/m
uncorrected energy: -6.77 eV per atom

Cell: 4.0775 7.0408 7.0690 Å, 70.55 90.00 90.00°
Closest atoms and distances in Å follow each position.
Element x y z (fractional)
1 La 0.0000 0.5000 0.5000  6 P 2.94-2.95
2 Ce 0.5000 0.5000 0.0000  6 P 2.89-2.90
3 Er 0.0000 0.0000 0.0000  6 P 2.81-2.82
4 Er 0.5000 0.0000 0.5000  6 P 2.86-2.87
5 P 0.0000 0.7592 0.7521  3 Er 2.81-2.86, 2 Ce 2.90, 1 La 2.94
6 P 0.0000 0.2408 0.2479  3 Er 2.81-2.86, 2 Ce 2.90, 1 La 2.94
7 P 0.5000 0.7621 0.2399  3 Er 2.82-2.87, 1 Ce 2.89, 2 La 2.95
8 P 0.5000 0.2379 0.7601  3 Er 2.82-2.87, 1 Ce 2.89, 2 La 2.95